Computed, not measured: YCdHg2 after structural relaxation at the PBE level of DFT.

```
YCdHg2
1.0
-1.258 -3.591 -0.067
1.078 -0.310 -3.637
6.170 -2.199 2.017
Hg Y Cd
2 1 1
direct
0.500 0.500 0.250 Hg
0.000 0.000 0.990 Hg
0.000 0.000 0.493 Y
0.500 0.500 0.767 Cd
```

Values from the calculation:
For the energy of formation from the pure elements, the calculation gives -0.224 eV/atom. Its space group is P4mm (99). The total magnetic moment is 0.05 μB/f.u. As for the density of states at the Fermi level: 0.717 states/eV per atom. The final energy is -8.88 eV per cell.